LuZr2Cr after structural relaxation, computed with PBE.

Cell: 3.2740 3.2740 9.5763 Å, 80.16 80.16 60.00°
Last column: nearest neighbours and their distance in Å.
Positions (direct):
Zr1 0.7338 0.7338 0.7985  3 Cr 2.67
Cr1 0.0000 0.0000 0.0000  6 Zr 2.67
Zr2 0.2662 0.2662 0.2015  3 Cr 2.67
Lu1 0.5000 0.5000 0.5000  6 Lu 3.27, 6 Zr 3.38

Properties
Energy relative to the elements: 317.9 meV/atom
Energy: -7.49 eV per atom



MgCr5 after structural relaxation, computed with PBE.

Cell: 2.9390 2.9390 9.4865 Å, 90.00 90.00 90.00°
Last column: nearest neighbours and their distance in Å.
Positions (direct):
Cr1 0.5000 0.5000 0.8443  8 Cr 2.45-2.55
Mg1 0.5000 0.5000 0.5000  8 Cr 2.86, 4 Mg 2.94
Cr2 0.0000 0.0000 0.7068  4 Cr 2.45
Cr3 0.0000 0.0000 0.0000  10 Cr 2.55-2.78
Cr4 0.5000 0.5000 0.1557  8 Cr 2.45-2.55
Cr5 0.0000 0.0000 0.2932  4 Cr 2.45

Properties
Energy relative to the elements: 202.0 meV/atom
Energy: -8.08 eV per atom



MgCr2 after structural relaxation, computed with PBE.

Cell: 6.7813 6.7813 4.3438 Å, 90.00 90.00 120.00°
Last column: nearest neighbours and their distance in Å.
Positions (direct):
Mg1 0.6667 0.3333 0.0000  9 Cr 2.65-2.96
Cr1 0.4292 0.4292 0.5000  5 Mg 2.91-2.96, 2 Cr 3.14
Cr2 0.7630 0.7630 0.0000  4 Mg 2.65-2.70, 2 Cr 2.78
Mg2 0.3333 0.6667 0.0000  9 Cr 2.65-2.96
Cr3 0.2370 0.0000 0.0000  4 Mg 2.65-2.70, 2 Cr 2.78
Cr4 0.0000 0.2370 0.0000  4 Mg 2.65-2.70, 2 Cr 2.78
Cr5 0.5708 0.0000 0.5000  5 Mg 2.91-2.96, 2 Cr 3.14
Cr6 0.0000 0.5708 0.5000  5 Mg 2.91-2.96, 2 Cr 3.14
Mg3 0.0000 0.0000 0.5000  9 Cr 2.70-2.91

Properties
Energy relative to the elements: 1125.4 meV/atom
Energy: -5.82 eV per atom
Polymorph energy (0 for the lowest one): 821 meV per atom



Mg4Cr5 after structural relaxation, computed with PBE.

Cell: 7.2597 7.2597 7.2597 Å, 92.79 92.79 154.51°
Last column: nearest neighbours and their distance in Å.
Positions (direct):
Mg1 0.0000 0.6762 0.6762  4 Cr 2.80, 4 Mg 2.97
Mg2 0.6762 0.0000 0.6762  4 Cr 2.80, 4 Mg 2.97
Mg3 0.3238 0.0000 0.3238  4 Cr 2.80, 4 Mg 2.97
Cr1 0.0000 0.0000 0.0000  8 Cr 2.66
Cr2 0.6501 0.6501 0.3002  2 Cr 2.66, 4 Mg 2.80
Cr3 0.6501 0.3499 0.0000  2 Cr 2.66, 4 Mg 2.80
Mg4 0.0000 0.3238 0.3238  4 Cr 2.80, 4 Mg 2.97
Cr4 0.3499 0.6501 0.0000  2 Cr 2.66, 4 Mg 2.80
Cr5 0.3499 0.3499 0.6998  2 Cr 2.66, 4 Mg 2.80

Properties
Energy relative to the elements: 523.7 meV/atom
Energy: -5.53 eV per atom
Polymorph energy (0 for the lowest one): 0 meV per atom